Record 1
# NaPmGdGa | the Alexandria database | PBE | optimized geometry
# D(E_F) = 3.63 states/eV/f.u.
# E_tot = -5.941 eV/atom
# magnetic moment = 7.74 Bohr magnetons per cell
data_NaPmGdGa
_cell_length_a 5.3112
_cell_length_b 5.3112
_cell_length_c 5.3112
_cell_angle_alpha 60.00
_cell_angle_beta 60.00
_cell_angle_gamma 60.00
_symmetry_space_group_name_H-M 'P 1'
_symmetry_Int_Tables_number 1
loop_
_symmetry_equiv_pos_as_xyz
'x,y,z'
loop_
_atom_site_label
_atom_site_type_symbol
_atom_site_fract_x
_atom_site_fract_y
_atom_site_fract_z
_atom_site_occupancy
Ga1 Ga 0.2500 0.2500 0.2500 1
Na1 Na 0.7500 0.7500 0.7500 1
Pm1 Pm 0.0000 0.0000 0.0000 1
Gd1 Gd 0.5000 0.5000 0.5000 1



Record 2
# NaPrGdGa | the Alexandria database | PBE | optimized geometry
# D(E_F) = 4.10 states/eV/f.u.
# E_tot = -5.949 eV/atom
# magnetic moment = 7.76 Bohr magnetons per cell
data_NaPrGdGa
_cell_length_a 5.3506
_cell_length_b 5.3506
_cell_length_c 5.3506
_cell_angle_alpha 60.00
_cell_angle_beta 60.00
_cell_angle_gamma 60.00
_symmetry_space_group_name_H-M 'P 1'
_symmetry_Int_Tables_number 1
loop_
_symmetry_equiv_pos_as_xyz
'x,y,z'
loop_
_atom_site_label
_atom_site_type_symbol
_atom_site_fract_x
_atom_site_fract_y
_atom_site_fract_z
_atom_site_occupancy
Ga1 Ga 0.0000 0.0000 0.0000 1
Gd1 Gd 0.7500 0.7500 0.7500 1
Na1 Na 0.5000 0.5000 0.5000 1
Pr1 Pr 0.2500 0.2500 0.2500 1



Record 3
# NaGdGaSn | the Alexandria database | PBE | optimized geometry
# D(E_F) = 2.61 states/eV/f.u.
# E_tot = -5.941 eV/atom
# magnetic moment = 6.96 Bohr magnetons per cell
data_NaGdGaSn
_cell_length_a 5.2146
_cell_length_b 5.2146
_cell_length_c 5.2146
_cell_angle_alpha 60.00
_cell_angle_beta 60.00
_cell_angle_gamma 60.00
_symmetry_space_group_name_H-M 'P 1'
_symmetry_Int_Tables_number 1
loop_
_symmetry_equiv_pos_as_xyz
'x,y,z'
loop_
_atom_site_label
_atom_site_type_symbol
_atom_site_fract_x
_atom_site_fract_y
_atom_site_fract_z
_atom_site_occupancy
Sn1 Sn 0.2500 0.2500 0.2500 1
Ga1 Ga 0.7500 0.7500 0.7500 1
Na1 Na 0.5000 0.5000 0.5000 1
Gd1 Gd 0.0000 0.0000 0.0000 1



Record 4
# NaGdTlGa | the Alexandria database | PBE | optimized geometry
# D(E_F) = 2.12 states/eV/f.u.
# E_tot = -5.452 eV/atom
# magnetic moment = 6.97 Bohr magnetons per cell
data_NaGdTlGa
_cell_length_a 5.2133
_cell_length_b 5.2133
_cell_length_c 5.2133
_cell_angle_alpha 60.00
_cell_angle_beta 60.00
_cell_angle_gamma 60.00
_symmetry_space_group_name_H-M 'P 1'
_symmetry_Int_Tables_number 1
loop_
_symmetry_equiv_pos_as_xyz
'x,y,z'
loop_
_atom_site_label
_atom_site_type_symbol
_atom_site_fract_x
_atom_site_fract_y
_atom_site_fract_z
_atom_site_occupancy
Ga1 Ga 0.0000 0.0000 0.0000 1
Gd1 Gd 0.7500 0.7500 0.7500 1
Tl1 Tl 0.5000 0.5000 0.5000 1
Na1 Na 0.2500 0.2500 0.2500 1



Record 5
# NaGdYGa | the Alexandria database | PBE | optimized geometry
# D(E_F) = 2.93 states/eV/f.u.
# E_tot = -6.374 eV/atom
# magnetic moment = 7.68 Bohr magnetons per cell
data_NaGdYGa
_cell_length_a 5.2547
_cell_length_b 5.2547
_cell_length_c 5.2547
_cell_angle_alpha 60.00
_cell_angle_beta 60.00
_cell_angle_gamma 60.00
_symmetry_space_group_name_H-M 'P 1'
_symmetry_Int_Tables_number 1
loop_
_symmetry_equiv_pos_as_xyz
'x,y,z'
loop_
_atom_site_label
_atom_site_type_symbol
_atom_site_fract_x
_atom_site_fract_y
_atom_site_fract_z
_atom_site_occupancy
Ga1 Ga 0.5000 0.5000 0.5000 1
Gd1 Gd 0.7500 0.7500 0.7500 1
Y1 Y 0.2500 0.2500 0.2500 1
Na1 Na 0.0000 0.0000 0.0000 1



Record 6
# NaGdZnGa | the Alexandria database | PBE | optimized geometry
# D(E_F) = 2.26 states/eV/f.u.
# E_tot = -5.131 eV/atom
# magnetic moment = 7.08 Bohr magnetons per cell
data_NaGdZnGa
_cell_length_a 5.0166
_cell_length_b 5.0166
_cell_length_c 5.0166
_cell_angle_alpha 60.00
_cell_angle_beta 60.00
_cell_angle_gamma 60.00
_symmetry_space_group_name_H-M 'P 1'
_symmetry_Int_Tables_number 1
loop_
_symmetry_equiv_pos_as_xyz
'x,y,z'
loop_
_atom_site_label
_atom_site_type_symbol
_atom_site_fract_x
_atom_site_fract_y
_atom_site_fract_z
_atom_site_occupancy
Ga1 Ga 0.2500 0.2500 0.2500 1
Gd1 Gd 0.0000 0.0000 0.0000 1
Zn1 Zn 0.7500 0.7500 0.7500 1
Na1 Na 0.5000 0.5000 0.5000 1



Record 7
# Gd2NbGa | the Alexandria database | PBE | optimized geometry
# D(E_F) = 5.21 states/eV/f.u.
# E_tot = -9.959 eV/atom
# magnetic moment = 15.74 Bohr magnetons per cell
data_Gd2NbGa
_cell_length_a 3.2359
_cell_length_b 3.2359
_cell_length_c 10.9851
_cell_angle_alpha 81.53
_cell_angle_beta 81.53
_cell_angle_gamma 60.00
_symmetry_space_group_name_H-M 'P 1'
_symmetry_Int_Tables_number 1
loop_
_symmetry_equiv_pos_as_xyz
'x,y,z'
loop_
_atom_site_label
_atom_site_type_symbol
_atom_site_fract_x
_atom_site_fract_y
_atom_site_fract_z
_atom_site_occupancy
Ga1 Ga 0.5000 0.5000 0.5000 1
Nb1 Nb 0.0000 0.0000 0.0000 1
Gd1 Gd 0.9085 0.9085 0.2746 1
Gd2 Gd 0.0915 0.0915 0.7254 1



Record 8
# GdNbGa4 | the Alexandria database | PBE | optimized geometry
# D(E_F) = 0.54 states/eV/f.u.
# E_tot = -6.377 eV/atom
# magnetic moment = 7.01 Bohr magnetons per cell
data_GdNbGa4
_cell_length_a 5.3302
_cell_length_b 5.3302
_cell_length_c 5.3302
_cell_angle_alpha 60.00
_cell_angle_beta 60.00
_cell_angle_gamma 60.00
_symmetry_space_group_name_H-M 'P 1'
_symmetry_Int_Tables_number 1
loop_
_symmetry_equiv_pos_as_xyz
'x,y,z'
loop_
_atom_site_label
_atom_site_type_symbol
_atom_site_fract_x
_atom_site_fract_y
_atom_site_fract_z
_atom_site_occupancy
Ga1 Ga 0.6245 0.6245 0.1264 1
Ga2 Ga 0.6245 0.1264 0.6245 1
Ga3 Ga 0.6245 0.6245 0.6245 1
Ga4 Ga 0.1264 0.6245 0.6245 1
Nb1 Nb 0.2500 0.2500 0.2500 1
Gd1 Gd 0.0000 0.0000 0.0000 1



Record 9
# Gd2NbGaO7 | the Alexandria database | PBE | optimized geometry
# D(E_F) = 0.00 states/eV/f.u.
# uncorrected formation energy = -2.8338 eV per atom
# E_tot = -9.740 eV/atom
# magnetic moment = 27.96 Bohr magnetons per cell
data_Gd2NbGaO7
_cell_length_a 7.3472
_cell_length_b 7.3472
_cell_length_c 7.3472
_cell_angle_alpha 120.97
_cell_angle_beta 119.16
_cell_angle_gamma 89.90
_symmetry_space_group_name_H-M 'P 1'
_symmetry_Int_Tables_number 1
loop_
_symmetry_equiv_pos_as_xyz
'x,y,z'
loop_
_atom_site_label
_atom_site_type_symbol
_atom_site_fract_x
_atom_site_fract_y
_atom_site_fract_z
_atom_site_occupancy
O1 O 0.6245 0.3745 0.2500 1
O2 O 0.9167 0.6702 0.8378 1
O3 O 0.3324 0.6702 0.2535 1
O4 O 0.0830 0.3330 0.7500 1
O5 O 0.9167 0.0789 0.2465 1
O6 O 0.9170 0.6670 0.2500 1
O7 O 0.3755 0.6255 0.7500 1
O8 O 0.6676 0.3298 0.7465 1
O9 O 0.0833 0.9211 0.7535 1
O10 O 0.6676 0.9211 0.3378 1
O11 O 0.3294 0.0794 0.2500 1
O12 O 0.3324 0.0789 0.6622 1
O13 O 0.6706 0.9206 0.7500 1
O14 O 0.0833 0.3298 0.1622 1
Ga1 Ga 0.0000 0.0000 0.5000 1
Ga2 Ga 0.0000 0.5000 0.0000 1
Gd1 Gd 0.5000 0.5000 0.5000 1
Gd2 Gd 0.5000 0.5000 0.0000 1
Gd3 Gd 0.0000 0.5000 0.5000 1
Gd4 Gd 0.5000 0.0000 0.0000 1
Nb1 Nb 0.5000 0.0000 0.5000 1
Nb2 Nb 0.0000 0.0000 0.0000 1



Record 10
# NdGdGa | the Alexandria database | PBE | optimized geometry
# D(E_F) = 2.17 states/eV/f.u.
# E_tot = -7.567 eV/atom
# magnetic moment = 7.18 Bohr magnetons per cell
data_NdGdGa
_cell_length_a 3.7827
_cell_length_b 5.0162
_cell_length_c 5.0162
_cell_angle_alpha 120.00
_cell_angle_beta 90.00
_cell_angle_gamma 90.00
_symmetry_space_group_name_H-M 'P 1'
_symmetry_Int_Tables_number 1
loop_
_symmetry_equiv_pos_as_xyz
'x,y,z'
loop_
_atom_site_label
_atom_site_type_symbol
_atom_site_fract_x
_atom_site_fract_y
_atom_site_fract_z
_atom_site_occupancy
Nd1 Nd 0.3743 0.3333 0.6667 1
Ga1 Ga 0.6930 0.6667 0.3333 1
Gd1 Gd 0.9327 0.0000 0.0000 1



Record 11
# NdGdGa | the Alexandria database | PBE | optimized geometry
# D(E_F) = 2.56 states/eV/f.u.
# E_tot = -7.648 eV/atom
# magnetic moment = 8.00 Bohr magnetons per cell
data_NdGdGa
_cell_length_a 3.6865
_cell_length_b 3.6865
_cell_length_c 6.6899
_cell_angle_alpha 105.99
_cell_angle_beta 105.99
_cell_angle_gamma 90.00
_symmetry_space_group_name_H-M 'P 1'
_symmetry_Int_Tables_number 1
loop_
_symmetry_equiv_pos_as_xyz
'x,y,z'
loop_
_atom_site_label
_atom_site_type_symbol
_atom_site_fract_x
_atom_site_fract_y
_atom_site_fract_z
_atom_site_occupancy
Gd1 Gd 0.3100 0.3100 0.6199 1
Ga1 Ga 0.6704 0.6704 0.3407 1
Nd1 Nd 0.0197 0.0197 0.0394 1



Record 12
# NdGdGa4 | the Alexandria database | PBE | optimized geometry
# D(E_F) = 3.46 states/eV/f.u.
# E_tot = -5.729 eV/atom
# magnetic moment = 7.57 Bohr magnetons per cell
data_NdGdGa4
_cell_length_a 5.5942
_cell_length_b 5.5942
_cell_length_c 5.5942
_cell_angle_alpha 60.00
_cell_angle_beta 60.00
_cell_angle_gamma 60.00
_symmetry_space_group_name_H-M 'P 1'
_symmetry_Int_Tables_number 1
loop_
_symmetry_equiv_pos_as_xyz
'x,y,z'
loop_
_atom_site_label
_atom_site_type_symbol
_atom_site_fract_x
_atom_site_fract_y
_atom_site_fract_z
_atom_site_occupancy
Ga1 Ga 0.6252 0.6252 0.1245 1
Ga2 Ga 0.1245 0.6252 0.6252 1
Ga3 Ga 0.6252 0.6252 0.6252 1
Ga4 Ga 0.6252 0.1245 0.6252 1
Gd1 Gd 0.0000 0.0000 0.0000 1
Nd1 Nd 0.2500 0.2500 0.2500 1



Record 13
# NdGdGa2 | the Alexandria database | PBE | optimized geometry
# D(E_F) = 2.09 states/eV/f.u.
# E_tot = -6.787 eV/atom
# magnetic moment = 7.06 Bohr magnetons per cell
data_NdGdGa2
_cell_length_a 5.1695
_cell_length_b 5.1695
_cell_length_c 5.1695
_cell_angle_alpha 60.00
_cell_angle_beta 60.00
_cell_angle_gamma 60.00
_symmetry_space_group_name_H-M 'P 1'
_symmetry_Int_Tables_number 1
loop_
_symmetry_equiv_pos_as_xyz
'x,y,z'
loop_
_atom_site_label
_atom_site_type_symbol
_atom_site_fract_x
_atom_site_fract_y
_atom_site_fract_z
_atom_site_occupancy
Ga1 Ga 0.7500 0.7500 0.7500 1
Ga2 Ga 0.2500 0.2500 0.2500 1
Nd1 Nd 0.5000 0.5000 0.5000 1
Gd1 Gd 0.0000 0.0000 0.0000 1



Record 14
# NdGdGa | the Alexandria database | PBE | optimized geometry
# D(E_F) = 3.06 states/eV/f.u.
# E_tot = -7.557 eV/atom
# magnetic moment = 7.98 Bohr magnetons per cell
data_NdGdGa
_cell_length_a 5.0659
_cell_length_b 5.0659
_cell_length_c 5.0659
_cell_angle_alpha 60.00
_cell_angle_beta 60.00
_cell_angle_gamma 60.00
_symmetry_space_group_name_H-M 'P 1'
_symmetry_Int_Tables_number 1
loop_
_symmetry_equiv_pos_as_xyz
'x,y,z'
loop_
_atom_site_label
_atom_site_type_symbol
_atom_site_fract_x
_atom_site_fract_y
_atom_site_fract_z
_atom_site_occupancy
Ga1 Ga 0.2500 0.2500 0.2500 1
Nd1 Nd 0.5000 0.5000 0.5000 1
Gd1 Gd 0.0000 0.0000 0.0000 1



Record 15
# NdGdGa2 | the Alexandria database | PBE | optimized geometry
# D(E_F) = 1.92 states/eV/f.u.
# E_tot = -6.802 eV/atom
# magnetic moment = 7.13 Bohr magnetons per cell
data_NdGdGa2
_cell_length_a 3.6496
_cell_length_b 3.6496
_cell_length_c 7.3202
_cell_angle_alpha 90.00
_cell_angle_beta 90.00
_cell_angle_gamma 90.00
_symmetry_space_group_name_H-M 'P 1'
_symmetry_Int_Tables_number 1
loop_
_symmetry_equiv_pos_as_xyz
'x,y,z'
loop_
_atom_site_label
_atom_site_type_symbol
_atom_site_fract_x
_atom_site_fract_y
_atom_site_fract_z
_atom_site_occupancy
Nd1 Nd 0.5000 0.5000 0.5000 1
Gd1 Gd 0.5000 0.5000 0.0000 1
Ga1 Ga 0.0000 0.0000 0.2409 1
Ga2 Ga 0.0000 0.0000 0.7591 1